VASP calculation (PBE+U) on a geometry-optimized Mn2Fe3CuP6O24 structure.

Values from the calculation:
DOS(E_F) ... 16.32 states/eV/cell
Electronic total energy ... -7.02 eV/atom

The structure in POSCAR format:
```
Mn2Fe3CuP6O24
1.0
4.317 2.492 6.987
-4.317 2.492 6.987
0.000 -4.985 6.987
Mn Fe Cu P O
2 3 1 6 24
Cartesian
0.000 0.000 0.000
0.000 0.000 10.474
0.000 0.000 7.434
0.000 0.000 13.520
0.000 0.000 17.924
0.000 0.000 3.030
-1.770 -2.497 8.749
-3.047 0.306 12.198
-1.277 2.781 8.749
1.258 -2.792 12.198
3.047 -0.284 8.749
1.789 2.485 12.198
-2.610 -2.516 10.018
-0.912 -3.799 8.570
-3.723 -1.097 12.366
-1.662 -0.083 6.459
-3.411 0.998 10.875
-0.816 -1.268 8.875
-2.834 2.689 8.570
0.903 -1.398 6.459
0.841 -3.453 10.875
-1.502 0.071 12.079
-0.690 1.341 8.875
0.759 1.481 6.459
-0.803 -1.498 14.463
0.690 -1.336 12.079
1.507 -0.073 8.875
-0.874 3.519 10.018
-0.895 1.444 14.463
2.811 -2.676 12.366
0.812 1.265 12.079
3.484 -1.003 10.018
1.699 0.053 14.463
3.746 1.109 8.570
0.912 3.773 12.366
2.570 2.455 10.875
```